AcTl2Ru2O7: relaxed, PBE-GGA.

Results
Formation energy from raw total energies   -1.3630 eV/atom
SG   C2/m

abc: 3.9909 3.9909 11.9156
angles: 99.58 99.58 90.00
Sites, in units of the cell vectors:
Ac 0.0000 0.0000 0.0000
Tl 0.1900 0.1900 0.3812
Tl 0.8100 0.8100 0.6188
Ru 0.4089 0.4089 0.8168
Ru 0.5911 0.5911 0.1832
O 0.0791 0.5793 0.1591
O 0.3292 0.3292 0.6555
O 0.4207 0.9209 0.8409
O 0.5000 0.5000 0.0000
O 0.5793 0.0791 0.1591
O 0.6708 0.6708 0.3445
O 0.9209 0.4207 0.8409


CsKLa2I: relaxed, PBE-GGA.

Results
Formation energy from raw total energies   0.7454 eV/atom
SG   P4/mmm

abc: 6.2411 6.2411 7.8097
angles: 90.00 90.00 90.00
Sites, in units of the cell vectors:
Cs 0.0000 0.0000 0.0000
K 0.0000 0.0000 0.5000
La 0.0000 0.5000 0.5000
La 0.5000 0.0000 0.5000
I 0.5000 0.5000 0.0000


Cd2BiCBr: relaxed, PBE-GGA.

Results
Formation energy from raw total energies   0.8019 eV/atom
SG   P4/mmm

abc: 4.4899 4.4899 5.9083
angles: 90.00 90.00 90.00
Sites, in units of the cell vectors:
Cd 0.0000 0.5000 0.0000
Cd 0.5000 0.0000 0.0000
Bi 0.0000 0.0000 0.5000
C 0.5000 0.5000 0.0000
Br 0.5000 0.5000 0.5000


Ca2TaPb: relaxed, PBE-GGA.

Results
SG   Pmm2
E_form   0.3522 eV/atom

abc: 3.4856 3.9447 8.3405
angles: 90.00 90.00 90.00
Sites, in units of the cell vectors:
Ca 0.0000 0.0000 0.0000
Ca 0.5000 0.5000 0.3498
Ta 0.0000 0.0000 0.5835
Pb 0.5000 0.5000 0.7573


LaInBi3: relaxed, PBE-GGA.

Results
SG   Pm-3m
E_form   0.1846 eV/atom
Energy relative to the lowest polymorph listed for this composition   531.5 meV/atom

abc: 5.7143 5.7143 5.7143
angles: 90.00 90.00 90.00
Sites, in units of the cell vectors:
La 0.0000 0.0000 0.0000
In 0.5000 0.5000 0.5000
Bi 0.0000 0.5000 0.5000
Bi 0.5000 0.0000 0.5000
Bi 0.5000 0.5000 0.0000


PuSiTcH2: relaxed, PBE-GGA.

Results
VASP energy   -78.07 eV per cell
SG   Cmcm

abc: 5.5840 5.5840 5.9346
angles: 90.00 90.00 139.99
Sites, in units of the cell vectors:
Pu 0.2031 0.7969 0.7500
Pu 0.7969 0.2031 0.2500
Si 0.0772 0.9228 0.2500
Si 0.9228 0.0772 0.7500
Tc 0.5000 0.5000 0.0000
Tc 0.5000 0.5000 0.5000
H 0.3317 0.6683 0.0570
H 0.3317 0.6683 0.4430
H 0.6683 0.3317 0.5570
H 0.6683 0.3317 0.9430


Question: What is the formula in the sixth record?
Answer: PuSiTcH2


Question: Which formula does entry 4 have?
Answer: Ca2TaPb